A plane-wave DFT calculation with GGA-PBE was carried out for crystalline Ac5SnAu4 at its relaxed geometry.

a = 3.9363 Å, b = 3.9363 Å, c = 19.8019 Å
α = 90.00°, β = 90.00°, γ = 90.00°
Last column: nearest neighbours and their distance in Å.
Atoms (fractional coordinates):
Ac (0.5000, 0.5000, 0.1084)  4 Au 3.40, 4 Sn 3.51
Ac (0.5000, 0.5000, 0.3044)  8 Au 3.38-3.39
Ac (0.5000, 0.5000, 0.5000)  8 Au 3.39
Ac (0.5000, 0.5000, 0.6956)  8 Au 3.38-3.39
Ac (0.5000, 0.5000, 0.8916)  4 Au 3.40, 4 Sn 3.51
Sn (0.0000, 0.0000, 0.0000)  8 Ac 3.51, 4 Sn 3.94
Au (0.0000, 0.0000, 0.2074)  8 Ac 3.38-3.40
Au (0.0000, 0.0000, 0.4021)  8 Ac 3.39
Au (0.0000, 0.0000, 0.5979)  8 Ac 3.39
Au (0.0000, 0.0000, 0.7926)  8 Ac 3.38-3.40

Results
- E_form (meV/atom) = -735
- DOS at the Fermi energy (states/eV per atom) = 0.839
- DFT total energy (eV/atom) = -4.50

***

A plane-wave DFT calculation with GGA-PBE was carried out for crystalline Ac2Sn3Au2 at its relaxed geometry.

a = 4.9850 Å, b = 7.5383 Å, c = 10.8200 Å
α = 90.00°, β = 103.32°, γ = 90.00°
Last column: nearest neighbours and their distance in Å.
Atoms (fractional coordinates):
Ac (0.1623, 0.2500, 0.3246)  6 Au 3.38-3.43, 6 Sn 3.53-3.57
Ac (0.8377, 0.7500, 0.6754)  6 Au 3.38-3.43, 6 Sn 3.53-3.57
Ac (0.9539, 0.2500, 0.9077)  9 Sn 3.43-3.73
Ac (0.0461, 0.7500, 0.0923)  9 Sn 3.43-3.73
Sn (0.2166, 0.7500, 0.4333)  6 Au 2.94-2.95
Sn (0.7834, 0.2500, 0.5667)  6 Au 2.94-2.95
Sn (0.5661, 0.4428, 0.1322)  1 Au 2.81, 2 Sn 2.91
Sn (0.4339, 0.5572, 0.8678)  1 Au 2.81, 2 Sn 2.91
Sn (0.4339, 0.9428, 0.8678)  1 Au 2.81, 2 Sn 2.91
Sn (0.5661, 0.0572, 0.1322)  1 Au 2.81, 2 Sn 2.91
Au (0.6940, 0.9500, 0.3880)  4 Sn 2.81-2.95, 1 Au 3.02
Au (0.3060, 0.0500, 0.6120)  4 Sn 2.81-2.95, 1 Au 3.02
Au (0.3060, 0.4500, 0.6120)  4 Sn 2.81-2.95, 1 Au 3.02
Au (0.6940, 0.5500, 0.3880)  4 Sn 2.81-2.95, 1 Au 3.02

Results
- E_form (meV/atom) = -672
- DOS at the Fermi energy (states/eV per atom) = 0.271
- DFT total energy (eV/atom) = -4.50
- excess energy over the best structure of this formula in the dataset (eV per atom) = 0.000

***

A plane-wave DFT calculation with GGA-PBE was carried out for crystalline Ac3SnAu3 at its relaxed geometry.

a = 6.2368 Å, b = 9.5467 Å, c = 9.5467 Å
α = 120.00°, β = 90.00°, γ = 90.00°
Last column: nearest neighbours and their distance in Å.
Atoms (fractional coordinates):
Ac (0.7500, 0.6798, 0.6302)  5 Au 3.12-3.29, 1 Sn 3.49
Ac (0.7500, 0.3698, 0.0496)  5 Au 3.12-3.29, 1 Sn 3.49
Ac (0.7500, 0.9504, 0.3202)  5 Au 3.12-3.29, 1 Sn 3.49
Ac (0.2500, 0.3202, 0.3698)  5 Au 3.12-3.29, 1 Sn 3.49
Ac (0.2500, 0.6302, 0.9504)  5 Au 3.12-3.29, 1 Sn 3.49
Ac (0.2500, 0.0496, 0.6798)  5 Au 3.12-3.29, 1 Sn 3.49
Sn (0.2500, 0.6667, 0.3333)  3 Au 2.94
Sn (0.7500, 0.3333, 0.6667)  3 Au 2.94
Au (0.2500, 0.6924, 0.6537)  1 Sn 2.94, 5 Ac 3.12-3.29
Au (0.2500, 0.3463, 0.0387)  1 Sn 2.94, 5 Ac 3.12-3.29
Au (0.2500, 0.9613, 0.3076)  1 Sn 2.94, 5 Ac 3.12-3.29
Au (0.7500, 0.3076, 0.3463)  1 Sn 2.94, 5 Ac 3.12-3.29
Au (0.7500, 0.6537, 0.9613)  1 Sn 2.94, 5 Ac 3.12-3.29
Au (0.7500, 0.0387, 0.6924)  1 Sn 2.94, 5 Ac 3.12-3.29

Results
- E_form (meV/atom) = -621
- DOS at the Fermi energy (states/eV per atom) = 0.769
- DFT total energy (eV/atom) = -4.36
- excess energy over the best structure of this formula in the dataset (eV per atom) = 0.148

***

A plane-wave DFT calculation with GGA-PBE was carried out for crystalline Ac3Sn2Au at its relaxed geometry.

a = 6.7814 Å, b = 9.4422 Å, c = 8.1905 Å
α = 106.54°, β = 114.46°, γ = 90.00°
Last column: nearest neighbours and their distance in Å.
Atoms (fractional coordinates):
Ac (0.5579, 0.2500, 0.0000)  4 Sn 3.34-3.36, 2 Au 3.37-3.41
Ac (0.4421, 0.7500, 0.0000)  4 Sn 3.34-3.36, 2 Au 3.37-3.41
Ac (0.1558, 0.0809, 0.3303)  2 Au 3.33-3.36, 4 Sn 3.36-3.41
Ac (0.8255, 0.4191, 0.6697)  2 Au 3.33-3.36, 4 Sn 3.36-3.41
Ac (0.1745, 0.5809, 0.3303)  2 Au 3.33-3.36, 4 Sn 3.36-3.41
Ac (0.8442, 0.9191, 0.6697)  2 Au 3.33-3.36, 4 Sn 3.36-3.41
Sn (0.6777, 0.5850, 0.3312)  6 Ac 3.34-3.41
Sn (0.6535, 0.0850, 0.3312)  6 Ac 3.34-3.41
Sn (0.3465, 0.9150, 0.6688)  6 Ac 3.34-3.41
Sn (0.3223, 0.4150, 0.6688)  6 Ac 3.34-3.41
Au (0.9456, 0.7500, 0.0000)  6 Ac 3.33-3.41
Au (0.0544, 0.2500, 0.0000)  6 Ac 3.33-3.41

Results
- E_form (meV/atom) = -580
- DOS at the Fermi energy (states/eV per atom) = 0.652
- DFT total energy (eV/atom) = -4.51
- excess energy over the best structure of this formula in the dataset (eV per atom) = 0.144

***

A plane-wave DFT calculation with GGA-PBE was carried out for crystalline Ac3Sn2Au9 at its relaxed geometry.

a = 4.7101 Å, b = 10.2245 Å, c = 8.9928 Å
α = 124.64°, β = 105.18°, γ = 90.00°
Last column: nearest neighbours and their distance in Å.
Atoms (fractional coordinates):
Ac (0.0000, 0.0000, 0.0000)  12 Au 3.51
Ac (0.2924, 0.2924, 0.5848)  10 Au 3.32-3.64, 2 Sn 3.51
Ac (0.7076, 0.7076, 0.4152)  10 Au 3.32-3.64, 2 Sn 3.51
Sn (0.5000, 0.3083, 0.0000)  8 Au 2.83-3.06
Sn (0.5000, 0.6917, 0.0000)  8 Au 2.83-3.06
Au (0.0000, 0.5000, 0.0000)  4 Au 2.92, 4 Sn 3.06
Au (0.3429, 0.9780, 0.6857)  4 Au 2.76-2.98, 1 Sn 2.83
Au (0.6571, 0.0220, 0.3143)  4 Au 2.76-2.98, 1 Sn 2.83
Au (0.3429, 0.7078, 0.6857)  4 Au 2.76-2.98, 1 Sn 2.83
Au (0.6571, 0.2922, 0.3143)  4 Au 2.76-2.98, 1 Sn 2.83
Au (0.1386, 0.8523, 0.2771)  4 Au 2.83-2.98, 2 Sn 3.06
Au (0.8614, 0.1477, 0.7229)  4 Au 2.83-2.98, 2 Sn 3.06
Au (0.1386, 0.4248, 0.2771)  4 Au 2.83-2.98, 2 Sn 3.06
Au (0.8614, 0.5752, 0.7229)  4 Au 2.83-2.98, 2 Sn 3.06

Results
- E_form (meV/atom) = -617
- DOS at the Fermi energy (states/eV per atom) = 0.479
- DFT total energy (eV/atom) = -4.18

***

A plane-wave DFT calculation with GGA-PBE was carried out for crystalline Ac2SnAu10 at its relaxed geometry.

a = 6.1568 Å, b = 8.8013 Å, c = 11.8121 Å
α = 91.04°, β = 102.17°, γ = 73.01°
Last column: nearest neighbours and their distance in Å.
Atoms (fractional coordinates):
Ac (0.3376, 0.2582, 0.9057)  10 Au 3.22-3.61
Ac (0.6624, 0.7418, 0.0943)  10 Au 3.22-3.61
Ac (0.4120, 0.7686, 0.5731)  10 Au 3.23-3.55
Ac (0.5880, 0.2314, 0.4269)  10 Au 3.23-3.55
Sn (0.0000, 0.5000, 0.5000)  4 Au 2.69-2.75
Sn (0.0000, 0.0000, 0.0000)  8 Au 2.81-2.97
Au (0.1549, 0.1413, 0.6206)  5 Au 2.78-3.00
Au (0.8451, 0.8587, 0.3794)  5 Au 2.78-3.00
Au (0.1540, 0.6477, 0.9924)  3 Au 2.75-3.04, 1 Sn 2.97
Au (0.8460, 0.3523, 0.0076)  3 Au 2.75-3.04, 1 Sn 2.97
Au (0.8454, 0.9311, 0.6091)  6 Au 2.78-3.10
Au (0.1546, 0.0689, 0.3909)  6 Au 2.78-3.10
Au (0.2812, 0.1405, 0.1657)  6 Au 2.74-3.05, 1 Sn 2.84
Au (0.2502, 0.9201, 0.8192)  5 Au 2.74-2.98, 1 Sn 2.85
Au (0.5984, 0.6238, 0.3449)  1 Sn 2.69, 4 Au 2.76-2.93
Au (0.8270, 0.4327, 0.6830)  1 Sn 2.75, 5 Au 2.76-2.95
Au (0.7188, 0.8595, 0.8343)  6 Au 2.74-3.05, 1 Sn 2.84
Au (0.7498, 0.0799, 0.1808)  5 Au 2.74-2.98, 1 Sn 2.85
Au (0.4016, 0.3762, 0.6551)  1 Sn 2.69, 4 Au 2.76-2.93
Au (0.1730, 0.5673, 0.3170)  1 Sn 2.75, 5 Au 2.76-2.95
Au (0.1993, 0.8417, 0.2182)  5 Au 2.76-2.92, 1 Sn 2.81
Au (0.8007, 0.1583, 0.7818)  5 Au 2.76-2.92, 1 Sn 2.81
Au (0.9183, 0.3567, 0.2552)  7 Au 2.76-2.97
Au (0.0817, 0.6433, 0.7448)  7 Au 2.76-2.97
Au (0.4429, 0.4144, 0.1523)  6 Au 2.75-3.07
Au (0.5571, 0.5856, 0.8477)  6 Au 2.75-3.07

Results
- E_form (meV/atom) = -436
- DOS at the Fermi energy (states/eV per atom) = 0.266
- DFT total energy (eV/atom) = -3.90

***

A plane-wave DFT calculation with GGA-PBE was carried out for crystalline AcSn2Au at its relaxed geometry.

a = 4.8920 Å, b = 9.7513 Å, c = 10.8790 Å
α = 116.63°, β = 102.99°, γ = 90.00°
Last column: nearest neighbours and their distance in Å.
Atoms (fractional coordinates):
Ac (0.7017, 0.7017, 0.4034)  8 Sn 3.40-3.48, 6 Au 3.55-3.76
Ac (0.5000, 0.2546, 0.0000)  10 Sn 3.70-3.77, 4 Au 3.72
Ac (0.5000, 0.7454, 0.0000)  10 Sn 3.70-3.77, 4 Au 3.72
Ac (0.2983, 0.2983, 0.5966)  8 Sn 3.40-3.48, 6 Au 3.55-3.76
Sn (0.9252, 0.4252, 0.8505)  2 Au 2.76, 1 Sn 2.82
Sn (0.6930, 0.3452, 0.3861)  3 Au 2.78-3.11, 1 Sn 2.97
Sn (0.6930, 0.0409, 0.3861)  3 Au 2.78-3.11, 1 Sn 2.97
Sn (0.3070, 0.6548, 0.6139)  3 Au 2.78-3.11, 1 Sn 2.97
Sn (0.0769, 0.0769, 0.1539)  2 Au 2.84, 1 Sn 2.90
Sn (0.0748, 0.5748, 0.1495)  2 Au 2.76, 1 Sn 2.82
Sn (0.9231, 0.9231, 0.8461)  2 Au 2.84, 1 Sn 2.90
Sn (0.3070, 0.9591, 0.6139)  3 Au 2.78-3.11, 1 Sn 2.97
Au (0.8510, 0.5947, 0.7020)  4 Sn 2.76-2.84
Au (0.1490, 0.4053, 0.2980)  4 Sn 2.76-2.84
Au (0.1490, 0.8927, 0.2980)  4 Sn 2.76-2.84
Au (0.8510, 0.1073, 0.7020)  4 Sn 2.76-2.84

Results
- E_form (meV/atom) = -609
- DOS at the Fermi energy (states/eV per atom) = 0.356
- DFT total energy (eV/atom) = -4.46
- excess energy over the best structure of this formula in the dataset (eV per atom) = 0.000

***

A plane-wave DFT calculation with GGA-PBE was carried out for crystalline Ac3Sn2Au6 at its relaxed geometry.

a = 4.3835 Å, b = 4.3835 Å, c = 16.2879 Å
α = 97.73°, β = 97.73°, γ = 90.00°
Last column: nearest neighbours and their distance in Å.
Atoms (fractional coordinates):
Ac (0.0000, 0.0000, 0.0000)  8 Au 3.23
Ac (0.8200, 0.8200, 0.6400)  5 Au 3.16-3.37, 4 Sn 3.51
Ac (0.1800, 0.1800, 0.3600)  5 Au 3.16-3.37, 4 Sn 3.51
Sn (0.3718, 0.3718, 0.7436)  5 Au 2.79-2.97
Sn (0.6282, 0.6282, 0.2564)  5 Au 2.79-2.97
Au (0.0742, 0.5742, 0.1485)  2 Sn 2.79, 4 Au 3.10
Au (0.5742, 0.0742, 0.1485)  2 Sn 2.79, 4 Au 3.10
Au (0.9258, 0.4258, 0.8515)  2 Sn 2.79, 4 Au 3.10
Au (0.4258, 0.9258, 0.8515)  2 Sn 2.79, 4 Au 3.10
Au (0.7211, 0.7211, 0.4423)  1 Sn 2.97, 1 Ac 3.16
Au (0.2789, 0.2789, 0.5577)  1 Sn 2.97, 1 Ac 3.16

Results
- E_form (meV/atom) = -486
- DOS at the Fermi energy (states/eV per atom) = 0.659
- DFT total energy (eV/atom) = -4.12

***

A plane-wave DFT calculation with GGA-PBE was carried out for crystalline Ac3Sn4Au4 at its relaxed geometry.

a = 4.8669 Å, b = 4.6622 Å, c = 13.9978 Å
α = 99.59°, β = 100.01°, γ = 90.00°
Last column: nearest neighbours and their distance in Å.
Atoms (fractional coordinates):
Ac (0.3450, 0.8450, 0.6899)  8 Au 3.41-3.74, 6 Sn 3.54-3.63
Ac (0.6550, 0.1550, 0.3101)  8 Au 3.41-3.74, 6 Sn 3.54-3.63
Ac (0.0000, 0.0000, 0.0000)  4 Au 3.48, 8 Sn 3.66
Sn (0.8052, 0.3052, 0.6103)  5 Au 2.71-2.82
Sn (0.4474, 0.4474, 0.8947)  2 Au 2.69, 1 Sn 2.86
Sn (0.5526, 0.5526, 0.1053)  2 Au 2.69, 1 Sn 2.86
Sn (0.1948, 0.6948, 0.3897)  5 Au 2.71-2.82
Au (0.2531, 0.2531, 0.5063)  4 Sn 2.81-2.82
Au (0.0950, 0.5950, 0.1900)  3 Sn 2.69-2.71
Au (0.9050, 0.4050, 0.8100)  3 Sn 2.69-2.71
Au (0.7469, 0.7469, 0.4937)  4 Sn 2.81-2.82

Results
- E_form (meV/atom) = -713
- DOS at the Fermi energy (states/eV per atom) = 0.498
- DFT total energy (eV/atom) = -4.48
- excess energy over the best structure of this formula in the dataset (eV per atom) = 0.000

***

A plane-wave DFT calculation with GGA-PBE was carried out for crystalline Ac3SnAu at its relaxed geometry.

a = 4.7308 Å, b = 7.6662 Å, c = 10.3699 Å
α = 90.00°, β = 90.00°, γ = 90.00°
Last column: nearest neighbours and their distance in Å.
Atoms (fractional coordinates):
Ac (0.7500, 0.7500, 0.0702)  2 Sn 3.33, 1 Au 3.50
Ac (0.2500, 0.2500, 0.9298)  2 Sn 3.33, 1 Au 3.50
Ac (0.7500, 0.9876, 0.6683)  3 Au 3.20-3.26, 2 Sn 3.50
Ac (0.7500, 0.5124, 0.6683)  3 Au 3.20-3.26, 2 Sn 3.50
Ac (0.2500, 0.0124, 0.3317)  3 Au 3.20-3.26, 2 Sn 3.50
Ac (0.2500, 0.4876, 0.3317)  3 Au 3.20-3.26, 2 Sn 3.50
Sn (0.7500, 0.2500, 0.1563)  6 Ac 3.33-3.50
Sn (0.2500, 0.7500, 0.8437)  6 Ac 3.33-3.50
Au (0.7500, 0.7500, 0.4075)  7 Ac 3.20-3.50
Au (0.2500, 0.2500, 0.5925)  7 Ac 3.20-3.50

Results
- E_form (meV/atom) = -574
- DOS at the Fermi energy (states/eV per atom) = 1.016
- DFT total energy (eV/atom) = -4.49